Record 1
Crystalline LiPmAlCu at its relaxed geometry. Source: OQMD via LeMat-Bulk, functional PBE-GGA.

Unit cell a=4.6762 b=4.6762 c=4.6762 alpha=60.00 beta=60.00 gamma=60.00
Last column: nearest neighbours and their distance in Å.
Element x y z (fractional)
Li (0.0000, 0.0000, 0.0000)  4 Pm 2.86, 4 Al 2.86
Pm (0.2500, 0.2500, 0.2500)  4 Cu 2.86, 4 Li 2.86
Al (0.7500, 0.7500, 0.7500)  4 Cu 2.86, 4 Li 2.86
Cu (0.5000, 0.5000, 0.5000)  4 Al 2.86, 4 Pm 2.86

Symmetry: F-43m (216)
Size of the total moment, μB/cell: 0.0
Theoretical density, g cm⁻³: 5.6
Uncorrected energy, eV/f.u.: -15.311

---

Record 2
Crystalline Li4Al2CuPt at its relaxed geometry. Source: OQMD via LeMat-Bulk, functional PBE-GGA.

Unit cell a=4.2613 b=4.2613 c=5.9905 alpha=90.00 beta=90.00 gamma=90.00
Last column: nearest neighbours and their distance in Å.
Element x y z (fractional)
Li (0.0000, 0.0000, 0.0000)  4 Al 2.58, 4 Li 2.62
Li (0.0000, 0.5000, 0.7441)  4 Li 2.58-2.62, 2 Cu 2.58, 2 Pt 2.62
Li (0.5000, 0.0000, 0.2559)  4 Li 2.58-2.62, 2 Cu 2.58, 2 Pt 2.62
Li (0.5000, 0.5000, 0.5000)  4 Li 2.58, 4 Al 2.63
Al (0.0000, 0.5000, 0.2424)  4 Li 2.58-2.63, 2 Pt 2.58, 2 Cu 2.63
Al (0.5000, 0.0000, 0.7576)  4 Li 2.58-2.63, 2 Pt 2.58, 2 Cu 2.63
Cu (0.0000, 0.0000, 0.5000)  4 Li 2.58, 4 Al 2.63
Pt (0.5000, 0.5000, 0.0000)  4 Al 2.58, 4 Li 2.62

Symmetry: P-4m2 (115)
Size of the total moment, μB/cell: 0.0
Theoretical density, g cm⁻³: 5.2
Uncorrected energy, eV/f.u.: -28.436

---

Record 3
Crystalline LiScAl2Cu2Pt2 at its relaxed geometry. Source: OQMD via LeMat-Bulk, functional PBE-GGA.

Unit cell a=4.3463 b=4.3463 c=6.1479 alpha=90.00 beta=90.00 gamma=90.00
Last column: nearest neighbours and their distance in Å.
Element x y z (fractional)
Li (0.0000, 0.0000, 0.0000)  4 Cu 2.56, 4 Pt 2.65
Sc (0.5000, 0.5000, 0.5000)  4 Pt 2.68, 4 Cu 2.77
Al (0.0000, 0.0000, 0.5000)  4 Pt 2.68, 4 Cu 2.77
Al (0.5000, 0.5000, 0.0000)  4 Cu 2.56, 4 Pt 2.65
Cu (0.0000, 0.5000, 0.7798)  4 Al 2.56-2.77, 2 Li 2.56, 2 Sc 2.77, 1 Pt 2.86
Cu (0.5000, 0.0000, 0.2202)  2 Li 2.56, 4 Al 2.56-2.77, 2 Sc 2.77, 1 Pt 2.86
Pt (0.0000, 0.5000, 0.2455)  2 Li 2.65, 4 Al 2.65-2.68, 2 Sc 2.68, 1 Cu 2.86
Pt (0.5000, 0.0000, 0.7545)  4 Al 2.65-2.68, 2 Li 2.65, 2 Sc 2.68, 1 Cu 2.86

Symmetry: P-4m2 (115)
Size of the total moment, μB/cell: 0.0
Theoretical density, g cm⁻³: 8.9
Uncorrected energy, eV/f.u.: -40.889